A plane-wave DFT calculation with PBE was carried out for a relaxed AcLa2TbAs4 crystal.

```
AcLa2TbAs4
1.0
4.370 0.000 0.000
0.000 7.555 -0.152
0.000 2.656 7.081
Ac La Tb As
1 2 1 4
direct
0.500 0.500 0.000
0.000 0.000 0.000
0.500 0.000 0.500
0.000 0.500 0.500
0.000 0.752 0.739
0.000 0.248 0.261
0.500 0.745 0.261
0.500 0.255 0.739
```

Energy of formation from the pure elements, eV/f.u.: -12.09
DOS at the Fermi energy, states/eV/f.u.: 0.6
Space group: P2/m
Total DFT energy (no corrections), eV per atom: -6.1599